Density functional theory data (SCAN) for a crystal of MgZr2As2 relaxed with PBEsol.

Cell: 7.3016 7.3016 3.5550 Å, 90.00 90.00 90.00°
Space group P4/mbm (No. 127)
Asymmetric unit:
Mg (0.0000, 0.0000, 0.0000) [2 per cell]
Zr (0.1464, 0.3536, 0.5000) [4 per cell]
As (0.1481, 0.6481, 0.0000) [4 per cell]

## Properties
Its total DFT energy (no corrections) is -222.90 eV for the cell shown. Its crystal system is tetragonal. For the energy of formation from the pure elements, the calculation gives -0.939 eV/atom.



Density functional theory data (SCAN) for a crystal of TaNbH relaxed with PBEsol.

Cell: 2.9176 4.7580 2.9198 Å, 90.00 109.76 90.00°
Space group P2 (No. 3)
Asymmetric unit:
Ta (0.0000, 0.0000, 0.0000) [1 per cell]
Nb (0.5000, 0.5297, 0.5000) [1 per cell]
H (0.5000, 0.2626, 0.0000) [1 per cell]

## Properties
Its total DFT energy (no corrections) is -103.70 eV for the cell shown. Its crystal system is monoclinic.



The records above yield magnetic moment values of 0.00 0.00 μB/f.u., respectively.
The records above yield DOS(E_F) values of 4.05 1.60 states/eV/cell, respectively.